Density functional theory data (PBE with a Hubbard U) for a geometry-optimized K2TlMo2O7 structure.

space group = R32
spin magnetization = 1.0 μB per formula unit
crystal system = trigonal
raw total energy = -5.989 eV per atom

Geometry as POSCAR:
```
K2TlMo2O7
1.0
6.633 0.000 0.000
3.317 5.745 0.000
3.317 1.915 8.376
K Tl Mo O
2 1 2 7
direct
0.782 0.782 0.655 K
0.218 0.218 0.345 K
0.500 0.500 0.500 Tl
0.924 0.924 0.228 Mo
0.076 0.076 0.772 Mo
0.163 0.872 0.306 O
0.658 0.163 0.306 O
0.872 0.658 0.306 O
0.342 0.128 0.694 O
0.837 0.342 0.694 O
0.000 0.000 0.000 O
0.128 0.837 0.694 O
```